*P*
This record from the Alexandria database describes CuTcBr2 after structural relaxation. The functional is GGA-PBE.

Values from the calculation:
DOS at the Fermi energy: 0.414 states/eV/atom

abc: 7.951 7.951 7.951
angles: 153.65 152.57 38.40
Fractional coordinates of all 4 atoms:
1 Cu 0.000 0.000 0.000
2 Tc 0.120 0.620 0.500
3 Br 0.461 0.461 0.000
4 Br 0.701 0.201 0.500

=====

*Q*
This record from the Alexandria database describes CuTcBr2 after structural relaxation. The functional is GGA-PBE.

Values from the calculation:
DOS at the Fermi energy: 0.513 states/eV/atom

abc: 4.534 3.485 6.317
angles: 90.00 90.01 90.00
Fractional coordinates of all 4 atoms:
1 Cu 0.000 0.000 0.000
2 Tc 0.002 0.500 0.304
3 Br 0.000 0.500 0.733
4 Br 0.501 0.000 0.302

=====

Energies relative to the minimum, eV/atom: *P* 0.016; *Q* 0.000

=====

*P*
This record from the Alexandria database describes CuTcBr2 after structural relaxation. The functional is GGA-PBE.

Values from the calculation:
DOS at the Fermi energy: 0.291 states/eV/atom

abc: 4.923 4.923 4.923
angles: 60.00 60.00 60.00
Fractional coordinates of all 4 atoms:
1 Cu 0.000 0.000 0.000
2 Tc 0.250 0.250 0.250
3 Br 0.500 0.500 0.500
4 Br 0.750 0.750 0.750

=====

*Q*
This record from the Alexandria database describes CuTcBr2 after structural relaxation. The functional is GGA-PBE.

Values from the calculation:
DOS at the Fermi energy: 0.264 states/eV/atom

abc: 4.115 4.115 8.156
angles: 98.90 98.90 47.91
Fractional coordinates of all 4 atoms:
1 Cu 0.000 0.000 0.000
2 Tc 0.263 0.263 0.848
3 Br 0.320 0.320 0.171
4 Br 0.683 0.683 0.622

=====

Energies relative to the minimum, eV/atom: *P* 0.756; *Q* 0.000

=====

*P*
This record from the Alexandria database describes CuTcBr2 after structural relaxation. The functional is GGA-PBE.

Values from the calculation:
DOS at the Fermi energy: 0.138 states/eV/atom

abc: 6.688 6.688 6.688
angles: 127.50 127.50 77.44
Fractional coordinates of all 8 atoms:
1 Cu 0.000 0.000 0.000
2 Cu 0.750 0.250 0.500
3 Tc 0.250 0.750 0.500
4 Tc 0.500 0.500 0.000
5 Br 0.120 0.625 0.995
6 Br 0.375 0.370 0.495
7 Br 0.630 0.125 0.005
8 Br 0.875 0.880 0.505

=====

*Q*
This record from the Alexandria database describes CuTcBr2 after structural relaxation. The functional is GGA-PBE.

Values from the calculation:
DOS at the Fermi energy: 0.592 states/eV/atom

abc: 7.862 7.862 4.272
angles: 105.52 105.52 23.29
Fractional coordinates of all 4 atoms:
1 Cu 0.000 0.000 0.000
2 Tc 0.500 0.500 0.500
3 Br 0.136 0.136 0.633
4 Br 0.864 0.864 0.367

=====

Energies relative to the minimum, eV/atom: *P* 0.403; *Q* 0.000